This record from Alexandria describes crystalline CeY2H at its relaxed geometry. The functional is PBE-GGA.

The value obtained for the density is 5.55 Mg/m³. For the total moment, the calculation gives 1.0 μB/f.u. For the raw total energy, the calculation gives -5.560 eV per atom.

The structure belongs to space group R-3m (No. 166, hexagonal axes); the cell edges are 3.4213, 3.4213 and 28.2556 Å and the angles 90.00°, 90.00° and 120.00°. Symmetry generates all atoms from Ce at (0.0000, 0.0000, 0.0000), Y at (0.0000, 0.0000, 0.1182) and H at (0.0000, 0.0000, 0.5000).